VASP calculation (PBE-GGA) on a relaxed structure of Sm7Al2Ag2.

Values from the calculation:
Its energy of formation from the pure elements is 0.66 kcal/mol of atoms. Its volume is 663.5 Å³/cell. The density of states at the Fermi level comes out at 1.2666 states/eV per atom.

Cell and atoms, written as CIF:
```
data_Sm7Al2Ag2
_chemical_formula_sum 'Sm14 Al4 Ag4'
_space_group_name_H-M_alt 'C m m m'
_space_group_IT_number 65
_space_group_name_Hall '-C 2 2'
_cell_length_a 7.924
_cell_length_b 11.072
_cell_length_c 7.562
_cell_angle_alpha 90.00
_cell_angle_beta 90.00
_cell_angle_gamma 90.00
loop_
_atom_site_label
_atom_site_type_symbol
_atom_site_fract_x
_atom_site_fract_y
_atom_site_fract_z
_atom_site_occupancy
Sm1 Sm 0.000 0.000 0.000 1
Sm2 Sm 0.000 0.500 0.270 1
Sm3 Sm 0.250 0.250 0.285 1
Al1 Al 0.165 0.000 0.500 1
Ag1 Ag 0.000 0.291 0.000 1
```